Compound: ZnBi2Os
Source: Alexandria
Functional: PBE
Structure: relaxed

Values from the calculation:
- DFT formation energy (eV/atom) = 0.8031
- total DFT energy (no corrections) (eV/cell) = -68.213

a = 6.2762 Å, b = 6.2762 Å, c = 12.6630 Å
α = 90.00°, β = 90.00°, γ = 90.00°
Space group I-42d (No. 122)
Unique sites:
Zn: 0.0000 0.0000 0.0000
Bi: 0.2251 0.2500 0.6250
Os: 0.0000 0.0000 0.5000